Below is a relaxed structure of LiGaCuOs, with properties calculated at the PBE level.

The structure in POSCAR format:
```
LiGaCuOs
1.0
0.000 2.990 2.990
2.990 0.000 2.990
2.990 2.990 0.000
Li Ga Cu Os
1 1 1 1
Direct
0.000 0.000 0.000 Li
0.250 0.250 0.250 Ga
0.750 0.750 0.750 Cu
0.500 0.500 0.500 Os
```

## Properties
**Calculated total energy**: -5.04 eV per atom
**Magnetic moment**: 0.00 μB per formula unit